Here is an optimized crystal structure of Nd2CoIrO8 from the Alexandria database. Energies are from GGA+U.

The structure in POSCAR format:
```
Nd2CoIrO8
1.0
-4.571 -2.350 1.314
1.629 -3.270 -2.124
2.034 -2.425 6.175
Nd Co Ir O
2 1 1 8
Cartesian
-0.354 -4.014 4.574
-0.553 -4.030 0.791
1.017 -1.212 3.087
0.000 0.000 0.000
1.621 -3.286 -0.112
-0.282 -6.276 5.367
-2.750 -2.861 1.487
-2.528 -4.758 5.477
-0.625 -1.769 -0.002
1.843 -5.184 3.878
-0.705 -5.521 2.632
-0.203 -2.524 2.733
```

Values from the calculation:
The calculation puts the calculated total energy at -7.001 eV/atom. The calculation puts the total magnetization at 1.3 μB per formula unit. The symmetry is No. 2. The volume is 153.2 Å³/cell.